# GGA-PBE ZnSn2O5, optimized geometry
# ΔE to the lowest computed polymorph ... 83 meV per atom
# Total magnetic moment ... 0.00 μB per formula unit
data_ZnSn2O5
_space_group_name_H-M_alt 'P 1'
_space_group_IT_number 1
_cell_length_a 5.8846
_cell_length_b 5.8846
_cell_length_c 7.9804
_cell_angle_alpha 68.36
_cell_angle_beta 68.36
_cell_angle_gamma 90.02
loop_
_space_group_symop_operation_xyz
'x,y,z'
loop_
_atom_site_label
_atom_site_type_symbol
_atom_site_fract_x
_atom_site_fract_y
_atom_site_fract_z
O1 O 0.2300 0.2047 0.0904
O2 O 0.7949 0.3199 0.4100
O3 O 0.7953 0.7700 0.4096
O4 O 0.2051 0.6801 0.5900
O5 O 0.3199 0.7949 0.9100
O6 O 0.2047 0.2300 0.5904
O7 O 0.6250 0.3750 0.7500
O8 O 0.3750 0.6250 0.2500
O9 O 0.6801 0.2051 0.0900
O10 O 0.7700 0.7953 0.9096
Sn1 Sn 0.5000 0.5000 0.5000
Sn2 Sn 0.0000 0.5000 0.5000
Sn3 Sn 0.5000 0.0000 0.0000
Sn4 Sn 0.5000 0.5000 0.0000
Zn1 Zn 0.1251 0.8749 0.7500
Zn2 Zn 0.8749 0.1251 0.2500